P | The following is a DFT calculation (PBE-GGA) of a relaxed structure of BeSiIr.

Unit cell a=2.758 b=4.798 c=11.635 alpha=90.00 beta=90.00 gamma=90.00
Space group Fmm2 (No. 42)
Asymmetric unit:
Be (0.000, 0.000, 0.000) [4 per cell]
Si (0.000, 0.000, 0.663) [4 per cell]
Ir (0.000, 0.000, 0.339) [4 per cell]

**Density of states at the Fermi level**: 0.236 states/eV/atom
**Magnetization**: 0.00 μB/f.u.

Q | The following is a DFT calculation (PBE-GGA) of a relaxed structure of BeSiIr.

Unit cell a=5.535 b=5.535 c=5.535 alpha=90.00 beta=90.00 gamma=90.00
Space group F-43m (No. 216)
Asymmetric unit:
Be (0.000, 0.000, 0.000) [4 per cell]
Si (0.000, 0.000, 0.500) [4 per cell]
Ir (0.250, 0.250, 0.750) [4 per cell]

**Density of states at the Fermi level**: 0.480 states/eV/atom
**Magnetization**: 0.00 μB/f.u.

Q: Which of them is the most stable? A: Q.